No. 1
A plane-wave DFT calculation with PBE-GGA was carried out for a relaxed Gd2Be2O5 crystal.

```
Gd2Be2O5
1.0
6.783 0.000 0.000
0.000 3.597 0.000
0.000 0.000 3.597
Gd Be O
2 2 5
Direct
0.000 0.000 0.000
0.500 0.000 0.000
0.732 0.500 0.500
0.268 0.500 0.500
0.223 0.500 0.000
0.500 0.500 0.500
0.777 0.500 0.000
0.223 0.000 0.500
0.777 0.000 0.500
```

Computed properties:
Energy relative to the lowest polymorph listed for this composition ... 0.0000 eV/atom


No. 2
A plane-wave DFT calculation with PBE-GGA was carried out for a relaxed GdBeOs crystal.

```
GdBeOs
1.0
0.000 3.107 3.107
3.107 0.000 3.107
3.107 3.107 0.000
Gd Be Os
1 1 1
Direct
0.750 0.750 0.750
0.250 0.250 0.250
0.000 0.000 0.000
```

Computed properties:
Energy relative to the lowest polymorph listed for this composition ... 0.3014 eV/atom


No. 3
A plane-wave DFT calculation with PBE-GGA was carried out for a relaxed GdBeOs crystal.

```
GdBeOs
1.0
0.000 2.988 2.988
2.988 0.000 2.988
2.988 2.988 0.000
Os Be Gd
1 1 1
Direct
0.750 0.750 0.750
0.000 0.000 0.000
0.250 0.250 0.250
```

Computed properties:
Energy relative to the lowest polymorph listed for this composition ... 0.0000 eV/atom


No. 4
A plane-wave DFT calculation with PBE-GGA was carried out for a relaxed GdPaBe crystal.

```
GdPaBe
1.0
-3.298 1.518 2.877
-4.336 0.557 -1.535
-3.345 -2.877 1.413
Be Pa Gd
1 1 1
Direct
0.000 0.000 0.000
0.750 0.750 0.750
0.250 0.250 0.250
```

Computed properties:
Energy relative to the lowest polymorph listed for this composition ... 0.0000 eV/atom


No. 5
A plane-wave DFT calculation with PBE-GGA was carried out for a relaxed Gd4Be2Pb crystal.

```
Gd4Be2Pb
1.0
2.476 -2.474 0.000
2.476 2.474 0.000
-2.447 0.000 14.049
Gd Be Pb
4 2 1
Direct
0.023 0.023 0.519
0.137 0.137 0.757
0.257 0.257 0.993
0.861 0.861 0.192
0.583 0.583 0.645
0.693 0.693 0.870
0.445 0.445 0.355
```


No. 6
A plane-wave DFT calculation with PBE-GGA was carried out for a relaxed GdBePd crystal.

```
GdBePd
1.0
2.802 -3.326 1.064
1.786 -0.198 4.101
-1.299 -3.194 2.855
Gd Pd Be
1 1 1
Direct
0.750 0.750 0.750
0.000 0.000 0.000
0.250 0.250 0.250
```

Computed properties:
Energy relative to the lowest polymorph listed for this composition ... 0.0000 eV/atom


No. 7
A plane-wave DFT calculation with PBE-GGA was carried out for a relaxed GdBePd crystal.

```
GdBePd
1.0
0.000 3.064 3.064
3.064 0.000 3.064
3.064 3.064 0.000
Be Gd Pd
1 1 1
Direct
0.000 0.000 0.000
0.250 0.250 0.250
0.750 0.750 0.750
```

Computed properties:
Energy relative to the lowest polymorph listed for this composition ... 0.0226 eV/atom


No. 8
A plane-wave DFT calculation with PBE-GGA was carried out for a relaxed PrGdBe crystal.

```
PrGdBe
1.0
-2.625 -2.618 3.163
-3.492 -2.989 -1.618
0.610 -4.828 0.264
Gd Pr Be
1 1 1
Direct
0.750 0.750 0.750
0.000 0.000 0.000
0.250 0.250 0.250
```


Computed calculated total energy (eV per formula unit) in order:
-67.610; -18.038; -18.942; -16.300; -30.192; -14.067; -13.999; -10.440